No. 1
{
  "formula": "ZrCd4Te",
  "functional": "PBE-GGA",
  "state": "optimized geometry",
  "e_tot_ev_per_cell": -14.36,
  "m_tot_mub_per_cell": 1.64,
  "space_group": "F-43m (216)",
  "lattice": [[0.000, 4.133, 4.133], [4.133, 0.000, 4.133], [4.133, 4.133, 0.000]],
  "species": ["Cd", "Cd", "Cd", "Cd", "Te", "Zr"],
  "frac_coords": [[0.877, 0.374, 0.374], [0.374, 0.374, 0.877], [0.374, 0.877, 0.374], [0.374, 0.374, 0.374], [0.750, 0.750, 0.750], [0.000, 0.000, 0.000]]
}

No. 2
{
  "formula": "KNpIr2O8",
  "functional": "PBE-GGA",
  "state": "optimized geometry",
  "e_tot_ev_per_cell": -85.87,
  "m_tot_mub_per_cell": 2.00,
  "space_group": "P-3 (147)",
  "lattice": [[5.637, 0.000, 0.000], [-2.819, 4.882, 0.000], [0.000, 0.000, 7.949]],
  "species": ["O", "O", "O", "O", "O", "O", "O", "O", "K", "Ir", "Ir", "Np"],
  "frac_coords": [[0.333, 0.667, 0.998], [0.097, 0.333, 0.662], [0.764, 0.097, 0.338], [0.236, 0.903, 0.662], [0.667, 0.333, 0.002], [0.903, 0.667, 0.338], [0.667, 0.764, 0.662], [0.333, 0.236, 0.338], [0.000, 0.000, 0.000], [0.667, 0.333, 0.224], [0.333, 0.667, 0.776], [0.000, 0.000, 0.500]]
}

No. 3
{
  "formula": "Tm6Fe2Cu",
  "functional": "PBE-GGA",
  "state": "optimized geometry",
  "formation_energy_mev_per_atom": -86.8,
  "e_tot_ev_per_cell": -97.26,
  "m_tot_mub_per_cell": 0.78,
  "space_group": "Immm (71)",
  "lattice": [[7.624, 0.075, -2.793], [-3.983, 6.673, -2.353], [-0.095, -0.075, 8.119]],
  "species": ["Tm", "Tm", "Tm", "Tm", "Tm", "Tm", "Tm", "Tm", "Tm", "Tm", "Tm", "Tm", "Fe", "Fe", "Fe", "Fe", "Cu", "Cu"],
  "frac_coords": [[0.298, 0.613, 0.315], [0.100, 0.285, 0.814], [0.900, 0.715, 0.186], [0.702, 0.387, 0.685], [0.529, 0.715, 0.814], [0.202, 0.225, 0.427], [0.798, 0.225, 0.023], [0.202, 0.775, 0.977], [0.702, 0.017, 0.315], [0.471, 0.285, 0.186], [0.298, 0.983, 0.685], [0.798, 0.775, 0.573], [0.381, 0.000, 0.381], [0.619, 0.000, 0.619], [0.500, 0.390, 0.890], [0.500, 0.610, 0.110], [0.000, 0.500, 0.500], [0.000, 0.000, 0.000]]
}

No. 4
{
  "formula": "BeCdO2",
  "functional": "PBE-GGA",
  "state": "optimized geometry",
  "e_tot_ev_per_cell": -87.31,
  "m_tot_mub_per_cell": 0.00,
  "space_group": "Pna2_1 (33)",
  "lattice": [[-1.586, -4.749, 0.813], [4.639, -1.159, 2.283], [-2.388, 1.783, 5.759]],
  "species": ["O", "O", "O", "O", "O", "O", "O", "O", "Be", "Be", "Be", "Be", "Cd", "Cd", "Cd", "Cd"],
  "frac_coords": [[0.439, 0.627, 0.328], [0.939, 0.873, 0.828], [0.939, 0.373, 0.672], [0.827, 0.972, 0.425], [0.327, 0.028, 0.575], [0.327, 0.528, 0.925], [0.439, 0.127, 0.172], [0.827, 0.472, 0.075], [0.007, 0.562, 0.875], [0.507, 0.938, 0.375], [0.507, 0.438, 0.125], [0.007, 0.062, 0.625], [0.500, 0.910, 0.878], [0.500, 0.410, 0.622], [0.000, 0.090, 0.122], [0.000, 0.590, 0.378]]
}